# PmNi2Pd

An optimized crystal structure of PmNi2Pd (PBE, Alexandria).

Structure (CIF):
```
data_PmNi2Pd
_symmetry_space_group_name_H-M 'P 4/m m m'
_symmetry_Int_Tables_number 123
_symmetry_space_group_name_Hall '-P 4 2'
_cell_length_a 4.0683
_cell_length_b 4.0683
_cell_length_c 3.9298
_cell_angle_alpha 90.00
_cell_angle_beta 90.00
_cell_angle_gamma 90.00
loop_
_atom_site_label
_atom_site_fract_x
_atom_site_fract_y
_atom_site_fract_z
_atom_site_occupancy
Pm1 0.0000 0.0000 0.0000 1
Ni1 0.0000 0.5000 0.5000 1
Pd1 0.5000 0.5000 0.0000 1
```

Properties
D(E_F) = 6.1 states/eV per cell
formation energy from the elements = -311 meV/atom
total moment = 0.112 μB/atom



# PmNi4Pd

An optimized crystal structure of PmNi4Pd (PBE, Alexandria).

Structure (CIF):
```
data_PmNi4Pd
_symmetry_space_group_name_H-M 'F -4 3 m'
_symmetry_Int_Tables_number 216
_symmetry_space_group_name_Hall 'F -4 2 3'
_cell_length_a 7.0079
_cell_length_b 7.0079
_cell_length_c 7.0079
_cell_angle_alpha 90.00
_cell_angle_beta 90.00
_cell_angle_gamma 90.00
loop_
_atom_site_label
_atom_site_fract_x
_atom_site_fract_y
_atom_site_fract_z
_atom_site_occupancy
Pm1 0.0000 0.0000 0.0000 1
Ni1 0.1242 0.1242 0.3758 1
Pd1 0.2500 0.2500 0.7500 1
```

Properties
D(E_F) = 29.5 states/eV per cell
formation energy from the elements = -280 meV/atom
total moment = 0.142 μB/atom



# Pm6NiPd3

An optimized crystal structure of Pm6NiPd3 (PBE, Alexandria).

Structure (CIF):
```
data_Pm6NiPd3
_symmetry_space_group_name_H-M 'R -3'
_symmetry_Int_Tables_number 148
_symmetry_space_group_name_Hall '-R 3'
_cell_length_a 12.8662
_cell_length_b 12.8662
_cell_length_c 11.9837
_cell_angle_alpha 90.00
_cell_angle_beta 90.00
_cell_angle_gamma 120.00
loop_
_atom_site_label
_atom_site_fract_x
_atom_site_fract_y
_atom_site_fract_z
_atom_site_occupancy
Pm1 0.0278 0.2090 0.3926 1
Pm2 0.0427 0.2012 0.8842 1
Ni1 0.0000 0.0000 0.0000 1
Ni2 0.0000 0.0000 0.5000 1
Pd1 0.0498 0.2727 0.6488 1
```

Properties
D(E_F) = 60.5 states/eV per cell
formation energy from the elements = -432 meV/atom
total moment = 0.000 μB/atom



# Pm12Ni6Pd

An optimized crystal structure of Pm12Ni6Pd (PBE, Alexandria).

Structure (CIF):
```
data_Pm12Ni6Pd
_symmetry_space_group_name_H-M 'I m -3'
_symmetry_Int_Tables_number 204
_symmetry_space_group_name_Hall '-I 2 2 3'
_cell_length_a 9.8734
_cell_length_b 9.8734
_cell_length_c 9.8734
_cell_angle_alpha 90.00
_cell_angle_beta 90.00
_cell_angle_gamma 90.00
loop_
_atom_site_label
_atom_site_fract_x
_atom_site_fract_y
_atom_site_fract_z
_atom_site_occupancy
Pm1 0.0000 0.3020 0.1853 1
Ni1 0.0000 0.1240 0.5000 1
Pd1 0.0000 0.0000 0.0000 1
```

Properties
D(E_F) = 39.5 states/eV per cell
formation energy from the elements = -283 meV/atom
total moment = 0.000 μB/atom